Entry from the Alexandria database: RbNaZnSi after structural relaxation (PBE).

The energy relative to the elements, uncorrected is 0.026 eV per atom. The calculation puts the mass density at 2584 kg/m³.

It has space group Cm (No. 8), with a = 7.566 Å, b = 4.370 Å, c = 8.243 Å, α = 90.00°, β = 107.75° and γ = 90.00°. The asymmetric unit holds Rb at (0.000, 0.000, 0.000), Na at (0.180, 0.000, 0.540), Zn at (0.443, 0.000, 0.328) and Si at (0.275, 0.500, 0.326).